No. 1
VASP calculation (GGA-PBE) on an optimized crystal structure of Dy7Tm3Mg.

The value obtained for the energy is -4.09 eV/atom. The spin magnetization is 0.000 μB per atom.

Structure (extended XYZ):
```
11
Lattice="-6.217 2.202 5.338 0.772 -6.015 3.380 3.651 5.572 1.953" Properties=species:S:1:pos:R:3 pbc="T T T"
Dy 2.439 3.897 2.819
Dy 0.617 1.115 1.844
Dy 1.009 -1.896 3.524
Dy -1.524 -3.062 5.528
Dy -1.903 -0.110 3.869
Dy 0.268 -0.327 6.487
Dy 2.824 0.895 4.506
Tm -2.672 1.490 6.858
Tm -4.482 -1.272 5.890
Tm -2.290 -1.491 8.533
Mg -0.094 2.697 4.820
```

No. 2
VASP calculation (GGA-PBE) on an optimized crystal structure of Dy8TmMg2.

For the energy above the most stable polymorph in this dataset, the calculation gives 128 meV/atom. The value obtained for the energy is -3.90 eV/atom. The spin magnetization is 0.000 μB per atom.

Structure (extended XYZ):
```
11
Lattice="-1.590 3.396 4.180 0.093 -7.946 3.937 7.500 3.814 -2.800" Properties=species:S:1:pos:R:3 pbc="T T T"
Dy 3.800 -1.627 5.285
Dy 5.451 0.994 3.784
Dy 4.044 -1.448 1.918
Dy 0.863 -3.763 4.603
Dy 5.140 3.027 0.714
Dy 1.960 0.712 3.399
Dy 0.552 -1.730 1.534
Dy 2.203 0.891 0.032
Tm -0.795 1.698 2.090
Mg 5.228 0.206 -0.733
Mg 2.365 -4.338 1.870
```

Results for formation enthalpy at 0 K: 19.1; 13.9 (in kJ/mol of atoms, following the order of the records).